A plane-wave DFT calculation with PBE was carried out for a geometry-optimized ReS2F structure.

Output
- Mass density: 7.0 g/cm³
- Formation energy without anion corrections: -0.3286 eV/atom

Unit cell a=7.6645 b=7.6645 c=7.6645 alpha=23.76 beta=23.76 gamma=23.76
Fractional positions:
Re 0.5000 0.5000 0.5000
S 0.9038 0.9038 0.9038
S 0.0962 0.0962 0.0962
F 0.0000 0.0000 0.0000